(1)
Density functional theory data (PBE) for AlSeO after structural relaxation.

The structure belongs to space group P-1 (No. 2); the cell edges are 3.4857, 3.6491 and 7.6309 Å and the angles 102.64°, 102.91° and 90.09°. Symmetry generates all atoms from Al at (0.1932, 0.1902, 0.3832), Se at (0.4255, 0.7753, 0.8577) and O at (0.2290, 0.7299, 0.4576).

Its energy above the most stable polymorph in this dataset is 127.7 meV per atom. The calculated density comes out at 4.4 Mg/m³. The formation energy (no corrections) comes out at -1633 meV per atom.



(2)
Density functional theory data (PBE) for AlSe2O5 after structural relaxation.

The structure belongs to space group Pbcn (No. 60); the cell edges are 7.8799, 9.7829 and 5.5459 Å and the angles 90.00°, 90.00° and 90.00°. Symmetry generates all atoms from Al at (0.0000, 0.0670, 0.2500), Se at (0.1543, 0.3602, 0.0216), O at (0.0000, 0.4343, 0.2500), O at (0.1191, 0.0702, 0.5498) and O at (0.1726, 0.2003, 0.1487).

The calculated density comes out at 4.1 Mg/m³. The formation energy (no corrections) comes out at -1182 meV per atom.



(3)
Density functional theory data (PBE) for AlSi2SeO after structural relaxation.

The structure belongs to space group P4/mmm (No. 123); the cell edges are 4.7761, 4.7761 and 4.7530 Å and the angles 90.00°, 90.00° and 90.00°. Symmetry generates all atoms from Al at (0.0000, 0.0000, 0.0000), Si at (0.0000, 0.5000, 0.0000), Se at (0.0000, 0.0000, 0.5000) and O at (0.5000, 0.5000, 0.5000).

The calculated density comes out at 2.7 Mg/m³. The formation energy (no corrections) comes out at 1005 meV per atom.



(4)
Density functional theory data (PBE) for Ta2AlSeO after structural relaxation.

The structure belongs to space group P4/mmm (No. 123); the cell edges are 4.0687, 4.0687 and 5.1946 Å and the angles 90.00°, 90.00° and 90.00°. Symmetry generates all atoms from Ta at (0.0000, 0.5000, 0.0000), Al at (0.0000, 0.0000, 0.5000), Se at (0.5000, 0.5000, 0.5000) and O at (0.5000, 0.5000, 0.0000).

The calculated density comes out at 9.3 Mg/m³. The formation energy (no corrections) comes out at -213 meV per atom.



(5)
Density functional theory data (PBE) for AlTcSe2O after structural relaxation.

The structure belongs to space group P4/mmm (No. 123); the cell edges are 4.9420, 4.9420 and 3.3739 Å and the angles 90.00°, 90.00° and 90.00°. Symmetry generates all atoms from Al at (0.0000, 0.0000, 0.0000), Tc at (0.5000, 0.5000, 0.0000), Se at (0.0000, 0.5000, 0.5000) and O at (0.0000, 0.0000, 0.5000).

The calculated density comes out at 6.0 Mg/m³. The formation energy (no corrections) comes out at 128 meV per atom.



(6)
Density functional theory data (PBE) for AlTe2SeO after structural relaxation.

The structure belongs to space group P4/mmm (No. 123); the cell edges are 5.2731, 5.2731 and 4.6807 Å and the angles 90.00°, 90.00° and 90.00°. Symmetry generates all atoms from Al at (0.0000, 0.0000, 0.0000), Te at (0.0000, 0.5000, 0.0000), Se at (0.0000, 0.0000, 0.5000) and O at (0.5000, 0.5000, 0.5000).

The calculated density comes out at 4.8 Mg/m³. The formation energy (no corrections) comes out at 731 meV per atom.



(7)
Density functional theory data (PBE) for AlTl2SeO after structural relaxation.

The structure belongs to space group P4/mmm (No. 123); the cell edges are 5.5650, 5.5650 and 4.6680 Å and the angles 90.00°, 90.00° and 90.00°. Symmetry generates all atoms from Al at (0.0000, 0.0000, 0.0000), Tl at (0.0000, 0.5000, 0.0000), Se at (0.0000, 0.0000, 0.5000) and O at (0.5000, 0.5000, 0.5000).

The calculated density comes out at 6.1 Mg/m³. The formation energy (no corrections) comes out at 394 meV per atom.



(8)
Density functional theory data (PBE) for AlTlSeO2 after structural relaxation.

The structure belongs to space group P4/mmm (No. 123); the cell edges are 4.0127, 4.0127 and 8.3393 Å and the angles 90.00°, 90.00° and 90.00°. Symmetry generates all atoms from Al at (0.0000, 0.0000, 0.0000), Tl at (0.0000, 0.0000, 0.5000), Se at (0.5000, 0.5000, 0.0000) and O at (0.0000, 0.5000, 0.5000).

The calculated density comes out at 4.2 Mg/m³. The formation energy (no corrections) comes out at 231 meV per atom.



The lowest calculated density belongs to which entry? AlSi2SeO



Which formula does entry 8 have? AlTlSeO2



The lowest calculated density belongs to which entry? AlSi2SeO